No. 1
RbSiHg | GGA-PBE | relaxed

Summary:
The energy above the lowest structure with this stoichiometry is 0.404 eV per atom. The crystal system is cubic. For the volume, the calculation gives 123.1 Å³/f.u. The value obtained for the electronic total energy is -1.29 eV/atom.

abc: 7.8956 7.8956 7.8956
angles: 90.00 90.00 90.00
Closest atoms and distances in Å follow each position.
Space group F-43m (No. 216)
Unique sites:
Rb  0.0000  0.0000  0.0000 (multiplicity 4)  4 Hg 3.42, 4 Si 3.42
Si  0.2500  0.2500  0.2500 (multiplicity 4)  4 Rb 3.42
Hg  0.2500  0.2500  0.7500 (multiplicity 4)  4 Rb 3.42

=====

No. 2
RbSiHg | GGA-PBE | relaxed

Summary:
The energy above the lowest structure with this stoichiometry is 0.013 eV per atom. The crystal system is cubic. For the volume, the calculation gives 102.9 Å³/f.u. The value obtained for the electronic total energy is -1.68 eV/atom.

abc: 7.4386 7.4386 7.4386
angles: 90.00 90.00 90.00
Closest atoms and distances in Å follow each position.
Space group F-43m (No. 216)
Unique sites:
Rb  0.0000  0.0000  0.0000 (multiplicity 4)  4 Hg 3.22
Si  0.0000  0.0000  0.5000 (multiplicity 4)  4 Hg 3.22
Hg  0.2500  0.2500  0.2500 (multiplicity 4)  4 Rb 3.22, 4 Si 3.22

=====

No. 3
Rb2SnHgTe4 | GGA-PBE | relaxed

Summary:
The crystal system is tetragonal. For the volume, the calculation gives 301.9 Å³/f.u. The value obtained for the electronic total energy is -2.92 eV/atom.

abc: 8.9493 8.9493 7.5380
angles: 90.00 90.00 90.00
Closest atoms and distances in Å follow each position.
Space group I-42m (No. 121)
Unique sites:
Rb  0.0000  0.5000  0.0000 (multiplicity 4)  2 Rb 3.77, 8 Te 3.77-3.86
Sn  0.0000  0.0000  0.0000 (multiplicity 2)  4 Te 2.82
Hg  0.0000  0.0000  0.5000 (multiplicity 2)  4 Te 2.93
Te  0.1715  0.1715  0.7615 (multiplicity 8)  1 Sn 2.82, 1 Hg 2.93

=====

No. 4
RbSnHg3Te4 | GGA-PBE | relaxed

Summary:
The crystal system is cubic. For the volume, the calculation gives 399.9 Å³/f.u. The value obtained for the electronic total energy is -2.23 eV/atom.

abc: 7.3677 7.3677 7.3677
angles: 90.00 90.00 90.00
Closest atoms and distances in Å follow each position.
Space group P-43m (No. 215)
Unique sites:
Rb  0.0000  0.0000  0.0000 (multiplicity 1)  4 Te 3.49
Sn  0.5000  0.5000  0.5000 (multiplicity 1)  4 Te 2.89
Hg  0.0000  0.5000  0.5000 (multiplicity 3)  4 Te 3.10
Te  0.2732  0.2732  0.2732 (multiplicity 4)  1 Sn 2.89, 3 Hg 3.10

=====

No. 5
RbSrHg | GGA-PBE | relaxed

Summary:
The energy above the lowest structure with this stoichiometry is 0.359 eV per atom. The crystal system is cubic. For the volume, the calculation gives 150.1 Å³/f.u. The value obtained for the electronic total energy is -0.71 eV/atom.

abc: 8.4366 8.4366 8.4366
angles: 90.00 90.00 90.00
Closest atoms and distances in Å follow each position.
Space group F-43m (No. 216)
Unique sites:
Rb  0.0000  0.0000  0.0000 (multiplicity 4)  4 Hg 3.65, 4 Sr 3.65
Sr  0.2500  0.2500  0.2500 (multiplicity 4)  4 Rb 3.65
Hg  0.2500  0.2500  0.7500 (multiplicity 4)  4 Rb 3.65

=====

No. 6
RbSrHg | GGA-PBE | relaxed

Summary:
The energy above the lowest structure with this stoichiometry is 0.000 eV per atom. The crystal system is cubic. For the volume, the calculation gives 145.3 Å³/f.u. The value obtained for the electronic total energy is -1.07 eV/atom.

abc: 8.3459 8.3459 8.3459
angles: 90.00 90.00 90.00
Closest atoms and distances in Å follow each position.
Space group F-43m (No. 216)
Unique sites:
Rb  0.0000  0.0000  0.0000 (multiplicity 4)  4 Hg 3.61
Sr  0.0000  0.0000  0.5000 (multiplicity 4)  4 Hg 3.61
Hg  0.2500  0.2500  0.2500 (multiplicity 4)  4 Rb 3.61, 4 Sr 3.61

=====

No. 7
Rb3TbHg | GGA-PBE | relaxed

Summary:
Its size of the total moment is 0.7 μB/f.u. The crystal system is cubic. For the volume, the calculation gives 303.6 Å³/f.u. The value obtained for the electronic total energy is -1.04 eV/atom.

abc: 6.7210 6.7210 6.7210
angles: 90.00 90.00 90.00
Closest atoms and distances in Å follow each position.
Space group Pm-3m (No. 221)
Unique sites:
Rb  0.0000  0.0000  0.5000 (multiplicity 3)  2 Hg 3.36
Tb  0.5000  0.5000  0.5000 (multiplicity 1)  12 Rb 4.75
Hg  0.0000  0.0000  0.0000 (multiplicity 1)  6 Rb 3.36

=====

No. 8
RbTbHgTe3 | GGA-PBE | relaxed

Summary:
Its size of the total moment is 0.0 μB/f.u. The crystal system is monoclinic. For the volume, the calculation gives 220.9 Å³/f.u. The value obtained for the electronic total energy is -3.42 eV/atom.

abc: 20.3295 4.4879 9.8834
angles: 90.00 101.48 90.00
Closest atoms and distances in Å follow each position.
Space group C2/m (No. 12)
Unique sites:
Rb  0.1432  0.0000  0.0663 (multiplicity 4)  7 Te 3.63-3.74
Tb  0.1740  0.0000  0.5735 (multiplicity 4)  5 Te 3.05-3.09
Hg  0.0268  0.5000  0.7199 (multiplicity 4)  4 Te 2.90-3.10
Te  0.0000  0.0000  0.5000 (multiplicity 2)  4 Hg 3.10, 2 Tb 3.47
Te  0.0000  0.5000  0.0000 (multiplicity 2)  2 Hg 2.93
Te  0.1724  0.5000  0.7881 (multiplicity 4)  1 Hg 2.90, 2 Tb 3.09
Te  0.1731  0.5000  0.3609 (multiplicity 4)  3 Tb 3.05-3.07